[1]
The following is a DFT calculation (GGA-PBE) of a relaxed structure of Er5TmHg6.

Structure (CIF):
```
data_Er5TmHg6
_chemical_formula_sum 'Er10 Tm2 Hg12'
_space_group_name_H-M_alt 'C m m m'
_space_group_IT_number 65
_space_group_name_Hall '-C 2 2'
_cell_length_a 5.200
_cell_length_b 15.672
_cell_length_c 7.388
_cell_angle_alpha 90.00
_cell_angle_beta 90.00
_cell_angle_gamma 90.00
loop_
_atom_site_label
_atom_site_type_symbol
_atom_site_fract_x
_atom_site_fract_y
_atom_site_fract_z
_atom_site_occupancy
Er1 Er 0.000 0.000 0.000 1
Er2 Er 0.000 0.333 0.000 1
Er3 Er 0.000 0.334 0.500 1
Tm1 Tm 0.000 0.000 0.500 1
Hg1 Hg 0.000 0.166 0.251 1
Hg2 Hg 0.000 0.500 0.251 1
```

E (eV/atom): -2.906
Energy relative to the elements (eV per atom): -0.48

=====

[2]
The following is a DFT calculation (GGA-PBE) of a relaxed structure of HfScRu.

Structure (CIF):
```
data_HfScRu
_chemical_formula_sum 'Hf4 Sc4 Ru4'
_space_group_name_H-M_alt 'A m m 2'
_space_group_IT_number 38
_cell_length_a 3.306
_cell_length_b 4.792
_cell_length_c 14.015
_cell_angle_alpha 90.00
_cell_angle_beta 90.00
_cell_angle_gamma 90.00
loop_
_space_group_symop_operation_xyz
'x,y,z'
'-x,-y,z'
'-x,y,z'
'x,-y,z'
'x,y+1/2,z+1/2'
'-x,-y+1/2,z+1/2'
'-x,y+1/2,z+1/2'
'x,-y+1/2,z+1/2'
loop_
_atom_site_label
_atom_site_type_symbol
_atom_site_fract_x
_atom_site_fract_y
_atom_site_fract_z
_atom_site_occupancy
Hf1 Hf 0.000 0.000 0.000 1
Hf2 Hf 0.000 0.000 0.319 1
Sc1 Sc 0.000 0.000 0.640 1
Sc2 Sc 0.500 0.000 0.820 1
Ru1 Ru 0.500 0.000 0.157 1
Ru2 Ru 0.500 0.000 0.479 1
```

E (eV/atom): -8.931
Energy relative to the elements (eV per atom): -0.41

=====

[3]
The following is a DFT calculation (GGA-PBE) of a relaxed structure of Nb3PPd.

Structure (CIF):
```
data_Nb3PPd
_chemical_formula_sum 'Nb3 P1 Pd1'
_space_group_name_H-M_alt 'P m -3 m'
_space_group_IT_number 221
_space_group_name_Hall '-P 4 2 3'
_cell_length_a 4.588
_cell_length_b 4.588
_cell_length_c 4.588
_cell_angle_alpha 90.00
_cell_angle_beta 90.00
_cell_angle_gamma 90.00
loop_
_atom_site_label
_atom_site_type_symbol
_atom_site_fract_x
_atom_site_fract_y
_atom_site_fract_z
_atom_site_occupancy
Nb1 Nb 0.000 0.000 0.500 1
P1 P 0.000 0.000 0.000 1
Pd1 Pd 0.500 0.500 0.500 1
```

E (eV/atom): -7.937
Energy relative to the elements (eV per atom): 0.22

=====

[4]
The following is a DFT calculation (GGA-PBE) of a relaxed structure of UV2Co.

Structure (CIF):
```
data_UV2Co
_chemical_formula_sum 'U4 V8 Co4'
_space_group_name_H-M_alt 'F m -3 m'
_space_group_IT_number 225
_space_group_name_Hall '-F 4 2 3'
_cell_length_a 6.115
_cell_length_b 6.115
_cell_length_c 6.115
_cell_angle_alpha 90.00
_cell_angle_beta 90.00
_cell_angle_gamma 90.00
loop_
_atom_site_label
_atom_site_type_symbol
_atom_site_fract_x
_atom_site_fract_y
_atom_site_fract_z
_atom_site_occupancy
U1 U 0.000 0.000 0.000 1
V1 V 0.250 0.250 0.250 1
Co1 Co 0.000 0.000 0.500 1
```

E (eV/atom): -8.967
Energy relative to the elements (eV per atom): 0.19